Entry from Alexandria via LeMat-Bulk: Zr2ZnF after structural relaxation (PBE-GGA). Values from VASP.

Values from the calculation:
Formation energy from raw total energies in eV/atom: -0.585

```
&SYSTEM
  ibrav = 0, nat = 4, ntyp = 3
/
ATOMIC_SPECIES
Zr 91.22 Zr.upf
Zn 65.41 Zn.upf
F 19.00 F.upf
ATOMIC_POSITIONS crystal
Zr 0.250 0.250 0.250
Zr 0.750 0.750 0.750
Zn 0.000 0.000 0.000
F 0.500 0.500 0.500
CELL_PARAMETERS angstrom
0.000 3.263 3.263
3.263 0.000 3.263
3.263 3.263 0.000
```